VASP calculation (PBE-GGA) on a geometry-optimized ZrHF3 structure.

Cell and atoms, written as CIF:
```
data_ZrHF3
_chemical_formula_sum 'Zr1 H1 F3'
_space_group_name_H-M_alt 'P 1'
_space_group_IT_number 1
_space_group_name_Hall 'P 1'
_cell_length_a 3.6018
_cell_length_b 3.6018
_cell_length_c 3.6018
_cell_angle_alpha 90.00
_cell_angle_beta 90.00
_cell_angle_gamma 90.00
loop_
_atom_site_label
_atom_site_fract_x
_atom_site_fract_y
_atom_site_fract_z
_atom_site_occupancy
H1 0.0000 0.0000 0.0000 1
Zr1 0.5000 0.5000 0.5000 1
F1 0.0000 0.5000 0.0000 1
F2 0.0000 0.0000 0.5000 1
F3 0.5000 0.0000 0.0000 1
```

- Theoretical density: 5.303 g/cm3
- N(E_F): 2.6 states/eV per cell
- Space group: Pm-3m
- Energy relative to the lowest polymorph listed for this composition: 803 meV per atom
- E_tot: -24.9 eV/cell
- Spin magnetization: 1.53 μB per cell

VASP calculation (PBE-GGA) on a geometry-optimized Zr2HF structure.

Cell and atoms, written as CIF:
```
data_Zr2HF
_chemical_formula_sum 'Zr4 H2 F2'
_space_group_name_H-M_alt 'P 1'
_space_group_IT_number 1
_space_group_name_Hall 'P 1'
_cell_length_a 4.9941
_cell_length_b 4.9941
_cell_length_c 6.0304
_cell_angle_alpha 65.54
_cell_angle_beta 65.54
_cell_angle_gamma 90.00
loop_
_atom_site_label
_atom_site_fract_x
_atom_site_fract_y
_atom_site_fract_z
_atom_site_occupancy
H1 0.5000 0.5000 0.0000 1
H2 0.2500 0.7500 0.5000 1
Zr1 0.5948 0.1250 0.2500 1
Zr2 0.1552 0.6250 0.2500 1
Zr3 0.3750 0.4052 0.7500 1
Zr4 0.8750 0.8448 0.7500 1
F1 0.0000 0.0000 0.0000 1
F2 0.7500 0.2500 0.5000 1
```

- Theoretical density: 5.515 g/cm3
- N(E_F): 7.7 states/eV per cell
- Space group: I-42d
- Energy relative to the lowest polymorph listed for this composition: 0 meV per atom
- E_tot: -52.9 eV/cell
- Spin magnetization: 0.00 μB per cell

VASP calculation (PBE-GGA) on a geometry-optimized ZrHF2 structure.

Cell and atoms, written as CIF:
```
data_ZrHF2
_chemical_formula_sum 'Zr1 H1 F2'
_space_group_name_H-M_alt 'P 1'
_space_group_IT_number 1
_space_group_name_Hall 'P 1'
_cell_length_a 3.8391
_cell_length_b 3.8391
_cell_length_c 3.8391
_cell_angle_alpha 60.00
_cell_angle_beta 60.00
_cell_angle_gamma 60.00
loop_
_atom_site_label
_atom_site_fract_x
_atom_site_fract_y
_atom_site_fract_z
_atom_site_occupancy
H1 0.0000 0.0000 0.0000 1
Zr1 0.5000 0.5000 0.5000 1
F1 0.2500 0.2500 0.2500 1
F2 0.7500 0.7500 0.7500 1
```

- Theoretical density: 5.405 g/cm3
- N(E_F): 1.9 states/eV per cell
- Space group: Fm-3m
- Energy relative to the lowest polymorph listed for this composition: 0 meV per atom
- E_tot: -22.8 eV/cell
- Spin magnetization: 1.00 μB per cell